No. 1
Compound: LiOs2Pb
Source: Alexandria via LeMat-Bulk
Functional: PBE
Structure: relaxed

a = 4.711 Å, b = 4.711 Å, c = 5.149 Å
α = 83.46°, β = 83.46°, γ = 35.80°
Positions (direct):
Li: 0.250 0.250 0.250
Os: 0.997 0.997 0.048
Os: 0.503 0.503 0.452
Pb: 0.750 0.750 0.750

Results
Space group: C2/m
Crystal system: monoclinic
E_tot, eV/cell: -25.71



No. 2
Compound: LiErGeS4
Source: Alexandria via LeMat-Bulk
Functional: PBE
Structure: relaxed

a = 7.385 Å, b = 7.492 Å, c = 7.492 Å
α = 61.93°, β = 60.47°, γ = 60.47°
Positions (direct):
Li: 0.500 0.000 0.500
Li: 0.000 0.000 0.500
Er: 0.000 0.000 0.000
Er: 0.000 0.500 0.500
Ge: 0.636 0.614 0.114
Ge: 0.364 0.386 0.886
S: 0.744 0.755 0.757
S: 0.256 0.743 0.745
S: 0.744 0.257 0.255
S: 0.256 0.245 0.243
S: 0.254 0.753 0.253
S: 0.741 0.753 0.253
S: 0.259 0.247 0.747
S: 0.746 0.247 0.747

Results
Space group: Imma
Crystal system: orthorhombic
E_tot, eV/cell: -70.36



No. 3
Compound: FeI2Cl6
Source: Alexandria via LeMat-Bulk
Functional: PBE
Structure: relaxed

a = 8.395 Å, b = 11.451 Å, c = 11.451 Å
α = 73.04°, β = 61.74°, γ = 61.74°
Positions (direct):
Fe: 0.250 0.859 0.141
Fe: 0.750 0.141 0.859
I: 0.513 0.346 0.348
I: 0.987 0.652 0.654
I: 0.487 0.654 0.652
I: 0.013 0.348 0.346
Cl: 0.763 0.239 0.456
Cl: 0.737 0.544 0.761
Cl: 0.237 0.761 0.544
Cl: 0.263 0.456 0.239
Cl: 0.028 0.140 0.709
Cl: 0.472 0.291 0.860
Cl: 0.972 0.860 0.291
Cl: 0.528 0.709 0.140
Cl: 0.751 0.174 0.033
Cl: 0.749 0.967 0.826
Cl: 0.249 0.826 0.967
Cl: 0.251 0.033 0.174

Results
Space group: C2/c
Crystal system: monoclinic
E_tot, eV/cell: -51.97



No. 4
Compound: AcDyAgOs
Source: Alexandria via LeMat-Bulk
Functional: PBE
Structure: relaxed

a = 5.165 Å, b = 5.165 Å, c = 5.165 Å
α = 60.00°, β = 60.00°, γ = 60.00°
Positions (direct):
Ac: 0.000 0.000 0.000
Os: 0.250 0.250 0.250
Ag: 0.750 0.750 0.750
Dy: 0.500 0.500 0.500

Results
Space group: F-43m
Crystal system: cubic
E_tot, eV/cell: -23.03



No. 5
Compound: Er5CuSe4
Source: Alexandria via LeMat-Bulk
Functional: PBE
Structure: relaxed

a = 3.957 Å, b = 7.104 Å, c = 9.071 Å
α = 75.57°, β = 77.40°, γ = 73.83°
Positions (direct):
Er: 0.191 0.903 0.716
Er: 0.809 0.097 0.284
Er: 0.408 0.280 0.905
Er: 0.000 0.500 0.500
Er: 0.592 0.720 0.095
Cu: 0.000 0.000 0.000
Se: 0.607 0.199 0.588
Se: 0.195 0.410 0.200
Se: 0.805 0.590 0.800
Se: 0.393 0.801 0.412

Results
Space group: C2/m
Crystal system: monoclinic
E_tot, eV/cell: -55.15



No. 6
Compound: Be2FeSb
Source: Alexandria via LeMat-Bulk
Functional: PBE
Structure: relaxed

a = 4.269 Å, b = 4.269 Å, c = 4.091 Å
α = 76.41°, β = 76.41°, γ = 46.53°
Positions (direct):
Sb: 0.750 0.750 0.750
Fe: 0.250 0.250 0.250
Be: 0.973 0.973 0.120
Be: 0.527 0.527 0.380

Results
Space group: C2/m
Crystal system: monoclinic
E_tot, eV/cell: -18.91



No. 7
Compound: La2ErGe3Rh4
Source: Alexandria via LeMat-Bulk
Functional: PBE
Structure: relaxed

a = 4.225 Å, b = 4.225 Å, c = 11.200 Å
α = 90.00°, β = 90.00°, γ = 90.00°
Positions (direct):
La: 0.500 0.000 0.234
La: 0.000 0.500 0.766
Er: 0.500 0.500 0.500
Ge: 0.000 0.000 0.500
Ge: 0.500 0.000 0.880
Ge: 0.000 0.500 0.120
Rh: 0.500 0.500 0.000
Rh: 0.000 0.000 0.000
Rh: 0.500 0.000 0.656
Rh: 0.000 0.500 0.344

Results
Space group: P-4m2
Crystal system: tetragonal
E_tot, eV/cell: -66.85



No. 8
Compound: Dy4FePt
Source: Alexandria via LeMat-Bulk
Functional: PBE
Structure: relaxed

a = 6.190 Å, b = 7.814 Å, c = 7.814 Å
α = 111.10°, β = 107.92°, γ = 107.92°
Positions (direct):
Dy: 0.785 0.645 0.771
Dy: 0.093 0.948 0.298
Dy: 0.715 0.229 0.355
Dy: 0.407 0.702 0.052
Dy: 0.593 0.298 0.948
Dy: 0.285 0.771 0.645
Dy: 0.907 0.052 0.702
Dy: 0.215 0.355 0.229
Fe: 0.250 0.002 0.998
Fe: 0.750 0.998 0.002
Pt: 0.750 0.636 0.364
Pt: 0.250 0.364 0.636

Results
Space group: C2/c
Crystal system: monoclinic
E_tot, eV/cell: -71.15



No. 9
Compound: LaAl2Zn
Source: Alexandria via LeMat-Bulk
Functional: PBE
Structure: relaxed

a = 4.268 Å, b = 3.196 Å, c = 6.607 Å
α = 74.86°, β = 90.00°, γ = 90.00°
Positions (direct):
Zn: 0.500 0.911 0.792
Al: 0.000 0.801 0.013
Al: 0.500 0.226 0.177
La: 0.000 0.562 0.518

Results
Space group: Pm
Crystal system: monoclinic
E_tot, eV/cell: -14.37



No. 10
Compound: AcNdSiNi
Source: Alexandria via LeMat-Bulk
Functional: PBE
Structure: relaxed

a = 4.090 Å, b = 4.090 Å, c = 8.079 Å
α = 89.99°, β = 104.66°, γ = 120.01°
Positions (direct):
Ac: 0.994 0.862 0.856
Nd: 0.343 0.036 0.380
Si: 0.852 0.291 0.143
Ni: 0.502 0.616 0.118

Results
Energy above the most stable polymorph in this dataset, meV per atom: 0
Space group: R3m
Crystal system: trigonal
E_tot, eV/cell: -21.99



No. 11
Compound: ZrNiSn
Source: Alexandria via LeMat-Bulk
Functional: PBE
Structure: relaxed

a = 4.573 Å, b = 4.573 Å, c = 4.573 Å
α = 60.00°, β = 60.00°, γ = 60.00°
Positions (direct):
Ni: 0.500 0.500 0.500
Sn: 0.000 0.000 0.000
Zr: 0.250 0.250 0.250

Results
Space group: F-43m
Crystal system: cubic
E_tot, eV/cell: -17.72



No. 12
Compound: MgOsW2
Source: Alexandria via LeMat-Bulk
Functional: PBE
Structure: relaxed

a = 5.321 Å, b = 5.321 Å, c = 4.416 Å
α = 65.53°, β = 65.53°, γ = 34.01°
Positions (direct):
Mg: 0.750 0.750 0.750
Os: 0.250 0.250 0.250
W: 0.987 0.987 0.013
W: 0.513 0.513 0.487

Results
Space group: Immm
Crystal system: orthorhombic
E_tot, eV/cell: -38.03



No. 13
Compound: Bi2RhAu2
Source: Alexandria via LeMat-Bulk
Functional: PBE
Structure: relaxed

a = 7.363 Å, b = 7.363 Å, c = 4.154 Å
α = 90.00°, β = 90.00°, γ = 90.00°
Positions (direct):
Rh: 0.000 0.000 0.000
Rh: 0.500 0.500 0.000
Au: 0.365 0.865 0.000
Au: 0.865 0.635 0.000
Au: 0.635 0.135 0.000
Au: 0.135 0.365 0.000
Bi: 0.177 0.677 0.500
Bi: 0.677 0.823 0.500
Bi: 0.823 0.323 0.500
Bi: 0.323 0.177 0.500

Results
Energy above the most stable polymorph in this dataset, meV per atom: 29
Space group: P4/mbm
Crystal system: tetragonal
E_tot, eV/cell: -41.69



No. 14
Compound: RbAgPtF6
Source: Alexandria via LeMat-Bulk
Functional: PBE
Structure: relaxed

a = 6.154 Å, b = 6.154 Å, c = 5.460 Å
α = 90.04°, β = 89.96°, γ = 59.90°
Positions (direct):
Rb: 0.000 0.000 0.999
Ag: 0.667 0.666 0.499
Pt: 0.333 0.333 0.500
F: 0.061 0.340 0.302
F: 0.342 0.060 0.698
F: 0.598 0.341 0.698
F: 0.060 0.599 0.699
F: 0.339 0.599 0.302
F: 0.600 0.061 0.302

Results
Space group: P1
Crystal system: triclinic
E_tot, eV/cell: -36.54



No. 15
Compound: Zr2TaTl
Source: Alexandria via LeMat-Bulk
Functional: PBE
Structure: relaxed

a = 3.086 Å, b = 3.086 Å, c = 9.504 Å
α = 90.00°, β = 90.00°, γ = 103.57°
Positions (direct):
Ta: 0.500 0.500 0.250
Tl: 0.500 0.500 0.750
Zr: 0.000 0.000 0.017
Zr: 0.000 0.000 0.483

Results
Energy above the most stable polymorph in this dataset, meV per atom: 42
Space group: Cmmm
Crystal system: orthorhombic
E_tot, eV/cell: -31.16



No. 16
Compound: ZrTaCl2
Source: Alexandria via LeMat-Bulk
Functional: PBE
Structure: relaxed

a = 4.724 Å, b = 3.154 Å, c = 5.316 Å
α = 89.94°, β = 90.00°, γ = 90.00°
Positions (direct):
Cl: 0.000 0.875 0.060
Cl: 0.500 0.375 0.296
Zr: 0.500 0.875 0.699
Ta: 0.000 0.375 0.444

Results
Energy above the most stable polymorph in this dataset, meV per atom: 578
Space group: Pmm2
Crystal system: orthorhombic
E_tot, eV/cell: -25.29



No. 17
Compound: SmYEr4
Source: Alexandria via LeMat-Bulk
Functional: PBE
Structure: relaxed

a = 6.467 Å, b = 8.862 Å, c = 8.502 Å
α = 112.02°, β = 100.37°, γ = 112.61°
Positions (direct):
Sm: 0.251 0.001 0.001
Sm: 0.749 0.999 0.999
Y: 0.336 0.586 0.173
Y: 0.664 0.414 0.827
Er: 0.047 0.168 0.739
Er: 0.746 0.712 0.608
Er: 0.192 0.571 0.739
Er: 0.362 0.896 0.608
Er: 0.638 0.104 0.392
Er: 0.808 0.429 0.261
Er: 0.254 0.288 0.392
Er: 0.953 0.832 0.261

Results
Energy above the most stable polymorph in this dataset, meV per atom: 124
Space group: C2/c
Crystal system: monoclinic
E_tot, eV/cell: -57.09



No. 18
Compound: Ac4SeS3
Source: Alexandria via LeMat-Bulk
Functional: PBE
Structure: relaxed

a = 6.152 Å, b = 6.152 Å, c = 6.152 Å
α = 90.00°, β = 90.00°, γ = 90.00°
Positions (direct):
Ac: 0.500 0.000 0.000
Ac: 0.000 0.500 0.000
Ac: 0.000 0.000 0.500
Ac: 0.500 0.500 0.500
Se: 0.000 0.000 0.000
S: 0.000 0.500 0.500
S: 0.500 0.000 0.500
S: 0.500 0.500 0.000

Results
Energy above the most stable polymorph in this dataset, meV per atom: 20
Space group: Pm-3m
Crystal system: cubic
E_tot, eV/cell: -47.90



No. 19
Compound: La2Nd2Dy
Source: Alexandria via LeMat-Bulk
Functional: PBE
Structure: relaxed

a = 3.694 Å, b = 7.373 Å, c = 15.997 Å
α = 54.85°, β = 96.63°, γ = 90.00°
Positions (direct):
La: 0.300 0.557 0.601
La: 0.700 0.061 0.399
La: 0.499 0.565 0.999
La: 0.501 0.054 0.001
Nd: 0.099 0.061 0.198
Nd: 0.901 0.557 0.802
Nd: 0.301 0.058 0.602
Nd: 0.699 0.560 0.398
Dy: 0.100 0.560 0.201
Dy: 0.900 0.059 0.799

Results
Energy above the most stable polymorph in this dataset, meV per atom: 0
Space group: C2/m
Crystal system: monoclinic
E_tot, eV/cell: -47.76



No. 20
Compound: Mg2ZrZn6
Source: Alexandria via LeMat-Bulk
Functional: PBE
Structure: relaxed

a = 2.986 Å, b = 7.717 Å, c = 8.288 Å
α = 117.74°, β = 111.06°, γ = 90.00°
Positions (direct):
Mg: 0.668 0.333 0.667
Mg: 0.332 0.667 0.333
Zr: 0.000 0.000 0.000
Zn: 0.832 0.000 0.334
Zn: 0.168 0.000 0.666
Zn: 0.168 0.666 0.666
Zn: 0.500 0.334 0.000
Zn: 0.500 0.666 0.000
Zn: 0.832 0.334 0.334

Results
Space group: C2/m
Crystal system: monoclinic
E_tot, eV/cell: -20.82



No. 21
Compound: TbPr3Pu2Se6
Source: Alexandria via LeMat-Bulk
Functional: PBE
Structure: relaxed

a = 7.241 Å, b = 7.241 Å, c = 7.316 Å
α = 99.49°, β = 99.49°, γ = 120.02°
Positions (direct):
Tb: 0.000 0.000 0.000
Pr: 0.168 0.832 0.500
Pr: 0.832 0.168 0.500
Pr: 0.500 0.500 0.500
Pu: 0.334 0.666 0.000
Pu: 0.666 0.334 0.000
Se: 0.921 0.589 0.762
Se: 0.748 0.748 0.240
Se: 0.079 0.411 0.238
Se: 0.589 0.921 0.762
Se: 0.252 0.252 0.760
Se: 0.411 0.079 0.238

Results
Space group: C2/m
Crystal system: monoclinic
E_tot, eV/cell: -89.48



No. 22
Compound: Ac3InN2
Source: Alexandria via LeMat-Bulk
Functional: PBE
Structure: relaxed

a = 6.199 Å, b = 11.100 Å, c = 11.101 Å
α = 146.21°, β = 90.00°, γ = 90.00°
Positions (direct):
Ac: 0.750 0.452 0.056
Ac: 0.750 0.056 0.452
Ac: 0.250 0.548 0.944
Ac: 0.750 0.152 0.152
Ac: 0.250 0.848 0.848
Ac: 0.250 0.944 0.548
In: 0.250 0.353 0.353
In: 0.750 0.647 0.647
N: 0.500 0.750 0.250
N: 0.000 0.750 0.250
N: 0.000 0.250 0.750
N: 0.500 0.250 0.750

Results
Space group: Cmcm
Crystal system: orthorhombic
E_tot, eV/cell: -68.76



No. 23
Compound: IrPb
Source: Alexandria via LeMat-Bulk
Functional: PBE
Structure: relaxed

a = 3.073 Å, b = 6.352 Å, c = 14.776 Å
α = 90.00°, β = 90.00°, γ = 90.00°
Positions (direct):
Ir: 0.000 0.981 0.679
Ir: 0.500 0.019 0.821
Ir: 0.500 0.019 0.179
Ir: 0.000 0.981 0.321
Ir: 0.000 0.481 0.000
Ir: 0.500 0.519 0.500
Pb: 0.000 0.652 0.835
Pb: 0.500 0.348 0.665
Pb: 0.500 0.348 0.335
Pb: 0.000 0.652 0.165
Pb: 0.000 0.882 0.500
Pb: 0.500 0.118 0.000

Results
Space group: Pmmn
Crystal system: orthorhombic
E_tot, eV/cell: -67.71



No. 24
Compound: BaTlHgAs
Source: Alexandria via LeMat-Bulk
Functional: PBE
Structure: relaxed

a = 5.630 Å, b = 5.630 Å, c = 5.630 Å
α = 60.00°, β = 60.00°, γ = 60.00°
Positions (direct):
As: 0.000 0.000 0.000
Tl: 0.250 0.250 0.250
Hg: 0.500 0.500 0.500
Ba: 0.750 0.750 0.750

Results
Space group: F-43m
Crystal system: cubic
E_tot, eV/cell: -11.06